No. 1
The following is a DFT calculation (PBE) of a geometry-optimized CsRbH2 structure.

It has space group I-42d (No. 122), with a = 6.7586 Å, b = 6.7586 Å, c = 13.2545 Å, α = 90.00°, β = 90.00° and γ = 90.00°. The asymmetric unit holds Cs at (0.0000, 0.0000, 0.0000), Rb at (0.0000, 0.0000, 0.5000) and H at (0.2289, 0.2500, 0.6250).

The calculation puts the polymorph energy (0 for the lowest one) at 36 meV per atom. The value obtained for the density of states at the Fermi level is 0.0 states/eV/f.u. The total energy comes out at -2.247 eV per atom. The calculation puts the mass density at 2.4 Mg/m³.

---

No. 2
The following is a DFT calculation (PBE) of a geometry-optimized La3Tb4ErSe8 structure.

It has space group R-3m (No. 166, hexagonal axes), with a = 8.3368 Å, b = 8.3368 Å, c = 20.4877 Å, α = 90.00°, β = 90.00° and γ = 120.00°. The asymmetric unit holds La at (0.0000, 0.5000, 0.0000), Tb at (0.0000, 0.0000, 0.5000), Tb at (0.0000, 0.5000, 0.5000), Er at (0.0000, 0.0000, 0.0000), Se at (0.0000, 0.0000, 0.2442) and Se at (0.0103, 0.5052, 0.7530).

Its energy relative to the elements, uncorrected is -1.840 eV per atom. The value obtained for the density of states at the Fermi level is 10.3 states/eV/f.u. The total energy comes out at -5.949 eV per atom. The calculation puts the mass density at 7.5 Mg/m³.

---

No. 3
The following is a DFT calculation (PBE) of a geometry-optimized La4SiAg3 structure.

It has space group P4/mmm (No. 123), with a = 3.8825 Å, b = 3.8825 Å, c = 14.4713 Å, α = 90.00°, β = 90.00° and γ = 90.00°. The asymmetric unit holds La at (0.0000, 0.0000, 0.1086), La at (0.0000, 0.0000, 0.3706), Si at (0.5000, 0.5000, 0.0000), Ag at (0.5000, 0.5000, 0.2449) and Ag at (0.5000, 0.5000, 0.5000).

Its energy relative to the elements, uncorrected is -0.336 eV per atom. The value obtained for the density of states at the Fermi level is 7.9 states/eV/f.u. The total energy comes out at -4.547 eV per atom. The calculation puts the mass density at 6.9 Mg/m³.

---

No. 4
The following is a DFT calculation (PBE) of a geometry-optimized Ca5Ac4Pm2 structure.

It has space group C2/m (No. 12), with a = 26.4862 Å, b = 3.7570 Å, c = 9.4184 Å, α = 90.00°, β = 96.62° and γ = 90.00°. The asymmetric unit holds Ca at (0.0000, 0.0000, 0.0000), Ca at (0.1813, 0.5000, 0.4661), Ca at (0.2243, 0.0000, 0.8185), Ac at (0.0408, 0.5000, 0.3550), Ac at (0.1325, 0.5000, 0.0448) and Pm at (0.0834, 0.0000, 0.7010).

For the formation energy, the calculation gives 1.2 eV per formula unit. The value obtained for the density of states at the Fermi level is 15.8 states/eV/f.u. The total energy comes out at -3.154 eV per atom. The calculation puts the mass density at 5.0 Mg/m³.

---

No. 5
The following is a DFT calculation (PBE) of a geometry-optimized Tb2PrNdSm structure.

It has space group Cmcm (No. 63), with a = 8.5000 Å, b = 11.7347 Å, c = 7.1902 Å, α = 90.00°, β = 90.00° and γ = 90.00°. The asymmetric unit holds Tb at (0.1869, 0.0000, 0.0000), Pr at (0.0000, 0.2304, 0.2500), Nd at (0.0000, 0.4992, 0.7500) and Sm at (0.0000, 0.2259, 0.7500).

For the formation energy, the calculation gives 1.8 eV per formula unit. The value obtained for the density of states at the Fermi level is 8.1 states/eV/f.u. The total energy comes out at -4.345 eV per atom. The calculation puts the mass density at 7.0 Mg/m³.

---

No. 6
The following is a DFT calculation (PBE) of a geometry-optimized Ba3Se structure.

It has space group R-3m (No. 166, hexagonal axes), with a = 11.7432 Å, b = 11.7432 Å, c = 4.2750 Å, α = 90.00°, β = 90.00° and γ = 120.00°. The asymmetric unit holds Ba at (0.0000, 0.5000, 0.0000) and Se at (0.0000, 0.0000, 0.0000).

The calculation puts the polymorph energy (0 for the lowest one) at 479 meV per atom. Its energy relative to the elements, uncorrected is -0.444 eV per atom. The value obtained for the density of states at the Fermi level is 4.8 states/eV/f.u. The total energy comes out at -2.757 eV per atom. The calculation puts the mass density at 4.8 Mg/m³.

---

No. 7
The following is a DFT calculation (PBE) of a geometry-optimized PrIn3Au structure.

It has space group Pnma (No. 62), with a = 9.2124 Å, b = 4.6320 Å, c = 11.8778 Å, α = 90.00°, β = 90.00° and γ = 90.00°. The asymmetric unit holds Pr at (0.1946, 0.2500, 0.0064), In at (0.0691, 0.2500, 0.5943), In at (0.1019, 0.7500, 0.8188), In at (0.1352, 0.7500, 0.2048) and Au at (0.1014, 0.2500, 0.3577).

The calculation puts the polymorph energy (0 for the lowest one) at 5 meV per atom. For the formation energy, the calculation gives -2.1 eV per formula unit. The value obtained for the density of states at the Fermi level is 1.7 states/eV/f.u. The total energy comes out at -3.672 eV per atom. The calculation puts the mass density at 8.9 Mg/m³.

---

No. 8
The following is a DFT calculation (PBE) of a geometry-optimized AgRuCl structure.

It has space group P3m1 (No. 156), with a = 3.0386 Å, b = 3.0386 Å, c = 6.6379 Å, α = 90.00°, β = 90.00° and γ = 120.00°. The asymmetric unit holds Ag at (0.0000, 0.0000, 0.0000), Ru at (0.3333, 0.6667, 0.6669) and Cl at (0.6667, 0.3333, 0.4166).

The calculation puts the polymorph energy (0 for the lowest one) at 0 meV per atom. Its energy relative to the elements, uncorrected is 0.426 eV per atom. The value obtained for the density of states at the Fermi level is 3.1 states/eV/f.u. The total energy comes out at -4.232 eV per atom. The calculation puts the mass density at 7.6 Mg/m³.

---

No. 9
The following is a DFT calculation (PBE) of a geometry-optimized Te2PdSeN structure.

It has space group P4/mmm (No. 123), with a = 5.5312 Å, b = 5.5312 Å, c = 3.7064 Å, α = 90.00°, β = 90.00° and γ = 90.00°. The asymmetric unit holds Te at (0.0000, 0.5000, 0.0000), Pd at (0.0000, 0.0000, 0.0000), Se at (0.5000, 0.5000, 0.5000) and N at (0.0000, 0.0000, 0.5000).

The calculation puts the polymorph energy (0 for the lowest one) at 0 meV per atom. Its energy relative to the elements, uncorrected is 0.732 eV per atom. The value obtained for the density of states at the Fermi level is 4.8 states/eV/f.u. The total energy comes out at -3.925 eV per atom. The calculation puts the mass density at 6.7 Mg/m³.

---

No. 10
The following is a DFT calculation (PBE) of a geometry-optimized FeAgMo2Pt structure.

It has space group P4/mmm (No. 123), with a = 4.7290 Å, b = 4.7290 Å, c = 4.4459 Å, α = 90.00°, β = 90.00° and γ = 90.00°. The asymmetric unit holds Fe at (0.0000, 0.0000, 0.0000), Ag at (0.0000, 0.0000, 0.5000), Mo at (0.0000, 0.5000, 0.5000) and Pt at (0.5000, 0.5000, 0.0000).

For the formation energy, the calculation gives 11.9 eV per formula unit. The value obtained for the density of states at the Fermi level is 9.2 states/eV/f.u. The total energy comes out at -5.415 eV per atom. The calculation puts the mass density at 9.2 Mg/m³.

---

No. 11
The following is a DFT calculation (PBE) of a geometry-optimized SrLaGa2 structure.

It has space group P1 (No. 1), with a = 5.8429 Å, b = 6.4858 Å, c = 6.5247 Å, α = 67.12°, β = 80.62° and γ = 82.22°. The asymmetric unit holds Sr at (0.0000, 0.0000, 0.0000), Sr at (0.4323, 0.1997, 0.2311), La at (0.3669, 0.6487, 0.6745), La at (0.8948, 0.4480, 0.4418), Ga at (0.5016, 0.7244, 0.1298), Ga at (0.5181, 0.1086, 0.7463), Ga at (0.8678, 0.5468, 0.9255) and Ga at (0.8811, 0.9188, 0.5526).

For the formation energy, the calculation gives -1.9 eV per formula unit. The value obtained for the density of states at the Fermi level is 2.4 states/eV/f.u. The total energy comes out at -3.633 eV per atom. The calculation puts the mass density at 5.4 Mg/m³.

---

No. 12
The following is a DFT calculation (PBE) of a geometry-optimized Ba2ZnGa4Pt3 structure.

It has space group P-4m2 (No. 115), with a = 4.5147 Å, b = 4.5147 Å, c = 10.7077 Å, α = 90.00°, β = 90.00° and γ = 90.00°. The asymmetric unit holds Ba at (0.0000, 0.5000, 0.2501), Zn at (0.0000, 0.0000, 0.5000), Ga at (0.0000, 0.0000, 0.0000), Ga at (0.0000, 0.5000, 0.6252), Ga at (0.5000, 0.5000, 0.0000), Pt at (0.0000, 0.5000, 0.8771) and Pt at (0.5000, 0.5000, 0.5000).

For the formation energy, the calculation gives -6.9 eV per formula unit. The value obtained for the density of states at the Fermi level is 5.4 states/eV/f.u. The total energy comes out at -4.222 eV per atom. The calculation puts the mass density at 9.2 Mg/m³.

---

- Which value of mass density does entry 10 give?
  9.2 Mg/m³

---

- What is the mass density in the eleventh record?
  5.4 Mg/m³